Entry 1:
The following is a DFT calculation (PBE) of a geometry-optimized LuBeTlCu structure.

Output
- ΔE to the lowest computed polymorph: 136 meV/atom

Cell and atoms, written as CIF:
```
data_LuBeTlCu
_chemical_formula_sum 'Lu4 Be4 Tl4 Cu4'
_cell_length_a 6.616
_cell_length_b 6.616
_cell_length_c 6.616
_cell_angle_alpha 90.00
_cell_angle_beta 90.00
_cell_angle_gamma 90.00
_symmetry_space_group_name_H-M 'F -4 3 m'
_symmetry_Int_Tables_number 216
_symmetry_space_group_name_Hall 'F -4 2 3'
loop_
_atom_site_label
_atom_site_type_symbol
_atom_site_fract_x
_atom_site_fract_y
_atom_site_fract_z
Lu1 Lu 0.000 0.000 0.000
Be1 Be 0.250 0.250 0.750
Tl1 Tl 0.250 0.250 0.250
Cu1 Cu 0.000 0.000 0.500
```


Entry 2:
The following is a DFT calculation (PBE) of a geometry-optimized Pr6Fe13Pb structure.

Output
- Total energy: -7.07 eV/atom

Cell and atoms, written as CIF:
```
data_Pr6Fe13Pb
_chemical_formula_sum 'Pr24 Fe52 Pb4'
_cell_length_a 8.024
_cell_length_b 8.024
_cell_length_c 23.703
_cell_angle_alpha 90.00
_cell_angle_beta 90.00
_cell_angle_gamma 90.00
_symmetry_space_group_name_H-M 'I 4/m c m'
_symmetry_Int_Tables_number 140
_symmetry_space_group_name_Hall '-I 4 2c'
loop_
_atom_site_label
_atom_site_type_symbol
_atom_site_fract_x
_atom_site_fract_y
_atom_site_fract_z
Pr1 Pr 0.000 0.000 0.104
Pr2 Pr 0.162 0.338 0.184
Fe1 Fe 0.000 0.500 0.000
Fe2 Fe 0.067 0.210 0.500
Fe3 Fe 0.113 0.387 0.408
Fe4 Fe 0.179 0.321 0.058
Pb1 Pb 0.000 0.000 0.250
```


Entry 3:
The following is a DFT calculation (PBE) of a geometry-optimized LuZnSn2 structure.

Output
- ΔE to the lowest computed polymorph: 0 meV/atom

Cell and atoms, written as CIF:
```
data_LuZnSn2
_chemical_formula_sum 'Lu2 Zn2 Sn4'
_cell_length_a 4.334
_cell_length_b 4.334
_cell_length_c 9.666
_cell_angle_alpha 90.00
_cell_angle_beta 90.00
_cell_angle_gamma 90.00
_symmetry_space_group_name_H-M 'P 4/n m m'
_symmetry_Int_Tables_number 129
loop_
_symmetry_equiv_pos_as_xyz
'x,y,z'
'-x,-y,-z'
'-y+1/2,x,z'
'y+1/2,-x,-z'
'-x+1/2,-y+1/2,z'
'x+1/2,y+1/2,-z'
'y,-x+1/2,z'
'-y,x+1/2,-z'
'x+1/2,-y,-z'
'-x+1/2,y,z'
'-y,-x,-z'
'y,x,z'
'-x,y+1/2,-z'
'x,-y+1/2,z'
'y+1/2,x+1/2,-z'
'-y+1/2,-x+1/2,z'
loop_
_atom_site_label
_atom_site_type_symbol
_atom_site_fract_x
_atom_site_fract_y
_atom_site_fract_z
Lu1 Lu 0.250 0.250 0.249
Zn1 Zn 0.250 0.750 0.000
Sn1 Sn 0.250 0.250 0.810
Sn2 Sn 0.250 0.750 0.500
```


Entry 4:
The following is a DFT calculation (PBE) of a geometry-optimized La2DyMg3In3 structure.

Output
- Total energy: -3.45 eV/atom

Cell and atoms, written as CIF:
```
data_La2DyMg3In3
_chemical_formula_sum 'La4 Dy2 Mg6 In6'
_cell_length_a 4.792
_cell_length_b 13.228
_cell_length_c 7.810
_cell_angle_alpha 90.00
_cell_angle_beta 90.00
_cell_angle_gamma 90.00
_symmetry_space_group_name_H-M 'A m m 2'
_symmetry_Int_Tables_number 38
loop_
_symmetry_equiv_pos_as_xyz
'x,y,z'
'-x,-y,z'
'-x,y,z'
'x,-y,z'
'x,y+1/2,z+1/2'
'-x,-y+1/2,z+1/2'
'-x,y+1/2,z+1/2'
'x,-y+1/2,z+1/2'
loop_
_atom_site_label
_atom_site_type_symbol
_atom_site_fract_x
_atom_site_fract_y
_atom_site_fract_z
La1 La 0.000 0.216 0.000
Dy1 Dy 0.000 0.000 0.357
Mg1 Mg 0.500 0.000 0.022
Mg2 Mg 0.500 0.121 0.662
In1 In 0.000 0.000 0.773
In2 In 0.500 0.161 0.285
```


Theoretical density
In order: 10366, 7741, 8741, 5754
Unit: kg/m³